Computed, not measured: crystalline Zr2Co2Sn at its relaxed geometry at the PBE level of DFT.

Lattice parameters (Å, degrees): 4.422 4.422 5.746 67.37 67.37 90.00
Sites, in units of the cell vectors:
Co 0.387 0.387 0.225
Co 0.613 0.613 0.775
Sn 0.000 0.000 0.000
Zr 0.750 0.250 0.500
Zr 0.250 0.750 0.500

The value obtained for the density of states at the Fermi level is 1.77 states/eV per cell. As for the raw total energy: -7.193 eV per atom. Its energy of formation from the pure elements is -12.6 kJ/mol of atoms. The total moment comes out at 0.00 μB per formula unit. As for the symmetry: No. 139.